Material: Al2Cu2Pd5
Method: DFT, PBE-GGA
State: relaxed

Cell and atoms, written as POSCAR:
```
Al2Cu2Pd5
1.0
6.494 -3.360 0.000
6.494 3.360 0.000
0.000 0.000 6.213
Al Cu Pd
4 4 10
direct
0.203 0.203 0.000 Al
0.297 0.297 0.500 Al
0.703 0.703 0.500 Al
0.797 0.797 0.000 Al
0.135 0.865 0.625 Cu
0.365 0.635 0.125 Cu
0.635 0.365 0.875 Cu
0.865 0.135 0.375 Cu
0.000 0.000 0.000 Pd
0.029 0.682 0.339 Pd
0.182 0.529 0.839 Pd
0.318 0.971 0.339 Pd
0.471 0.818 0.839 Pd
0.500 0.500 0.500 Pd
0.529 0.182 0.161 Pd
0.682 0.029 0.661 Pd
0.818 0.471 0.161 Pd
0.971 0.318 0.661 Pd
```

The calculation puts the formation energy at -0.393 eV per atom.